1.
The following is a DFT calculation (PBE) of an optimized crystal structure of Cs3K3Cd.

Lattice parameters (Å, degrees): 13.0368 13.0368 6.9993 90.00 90.00 120.00
Space group P6_3/mmc (No. 194)
Unique sites:
1 Cs 0.1085 0.5542 0.2500
2 K 0.1376 0.2752 0.7500
3 Cd 0.3333 0.6667 0.7500

Values from the calculation:
DOS(E_F) ... 13.4 states/eV per cell
DFT formation energy ... 0.33 eV/f.u.

***

2.
The following is a DFT calculation (PBE) of an optimized crystal structure of Cs5K5Cd2.

Lattice parameters (Å, degrees): 22.243 6.421 15.242 90.00 124.93 90.00
Space group C2/m (No. 12)
Unique sites:
1 Cs 0.000 0.000 0.000
2 Cs 0.145 0.000 0.857
3 Cs 0.164 0.000 0.510
4 K 0.000 0.500 0.500
5 K 0.057 0.500 0.227
6 K 0.235 0.000 0.226
7 Cd 0.139 0.500 0.058

Values from the calculation:
DOS(E_F) ... 19.7 states/eV per cell
DFT formation energy ... 0.12 eV/f.u.

***

3.
The following is a DFT calculation (PBE) of an optimized crystal structure of Cs5K6Cd.

Lattice parameters (Å, degrees): 13.693 23.153 7.525 90.00 123.32 90.00
Space group C2/m (No. 12)
Unique sites:
1 Cs 0.000 0.000 0.000
2 Cs 0.000 0.156 0.500
3 Cs 0.000 0.296 0.000
4 K 0.180 0.500 0.183
5 K 0.197 0.372 0.698
6 Cd 0.000 0.500 0.500

Values from the calculation:
DOS(E_F) ... 22.1 states/eV per cell
DFT formation energy ... 0.24 eV/f.u.